Computed, not measured: a geometry-optimized Ba2Cu2As2O structure at the GGA-PBE level of DFT.

Values from the calculation:
As for the uncorrected formation energy: -0.976 eV per atom.

```
data_Ba2Cu2As2O
_chemical_formula_sum 'Ba4 Cu4 As4 O2'
_cell_length_a 12.392
_cell_length_b 4.132
_cell_length_c 7.478
_cell_angle_alpha 90.00
_cell_angle_beta 125.11
_cell_angle_gamma 90.00
_symmetry_space_group_name_H-M 'C 1 2/m 1'
_symmetry_Int_Tables_number 12
loop_
_symmetry_equiv_pos_as_xyz
'x,y,z'
'-x,-y,-z'
'-x,y,-z'
'x,-y,z'
'x+1/2,y+1/2,z'
'-x+1/2,-y+1/2,-z'
'-x+1/2,y+1/2,-z'
'x+1/2,-y+1/2,z'
loop_
_atom_site_label
_atom_site_fract_x
_atom_site_fract_y
_atom_site_fract_z
_atom_site_occupancy
Ba1 0.044 0.000 0.277 1
Cu1 0.196 0.500 0.093 1
As1 0.188 0.500 0.750 1
O1 0.000 0.500 0.000 1
```